BaLi6Pb12: relaxed, PBE-GGA.

Output
crystal system = trigonal
uncorrected energy = -3.2109 eV per atom
symmetry = R-3m
formation energy from the elements = -0.163 eV/atom
density = 8.4 g cm⁻³

Cell lengths 8.4786, 8.4786, 8.4786 Å; angles 105.45, 105.45, 105.45 degrees
Sites, in units of the cell vectors:
1 Pb 0.4203 0.4203 0.1682
2 Pb 0.8802 0.1198 0.5000
3 Pb 0.1198 0.5000 0.8802
4 Pb 0.4203 0.1682 0.4203
5 Pb 0.5000 0.8802 0.1198
6 Pb 0.1198 0.8802 0.5000
7 Pb 0.5797 0.5797 0.8318
8 Pb 0.5797 0.8318 0.5797
9 Pb 0.5000 0.1198 0.8802
10 Pb 0.8802 0.5000 0.1198
11 Pb 0.8318 0.5797 0.5797
12 Pb 0.1682 0.4203 0.4203
13 Li 0.7336 0.2872 0.7336
14 Li 0.2872 0.7336 0.7336
15 Li 0.7128 0.2664 0.2664
16 Li 0.7336 0.7336 0.2872
17 Li 0.2664 0.7128 0.2664
18 Li 0.2664 0.2664 0.7128
19 Ba 0.0000 0.0000 0.0000